1.
A geometry-optimized AlSi2AgN structure, computed with GGA-PBE.

Cell: 4.7047 4.7047 4.7846 Å, 90.00 90.00 90.00°
With the nearest neighbours (Å) after each atom.
Sites, in units of the cell vectors:
Al (0.0000, 0.0000, 0.0000)  2 Ag 2.39
Si (0.0000, 0.5000, 0.5000)  2 Ag 2.35
Si (0.5000, 0.0000, 0.5000)  2 Ag 2.35
Ag (0.0000, 0.0000, 0.5000)  4 Si 2.35, 2 Al 2.39
N (0.5000, 0.5000, 0.0000)  4 Al 3.33, 8 Si 3.36

## Properties
Energy relative to the elements, uncorrected in eV/f.u.: 9.20
D(E_F) in states/eV/atom: 0.511
Spin magnetization in μB per cell: 0.00
SG: P4/mmm (123)

2.
A geometry-optimized AsP2Os structure, computed with GGA-PBE.

Cell: 2.8288 2.8288 9.1068 Å, 90.00 90.00 119.27°
With the nearest neighbours (Å) after each atom.
Sites, in units of the cell vectors:
As (0.0000, 0.0000, 0.0000)  2 Os 2.65, 6 As 2.83-2.86
P (0.0000, 0.0000, 0.5468)  2 Os 2.37, 2 P 2.61
P (0.5000, 0.5000, 0.3067)  8 P 2.61-2.86
Os (0.5000, 0.5000, 0.7544)  2 P 2.37, 2 As 2.65

## Properties
Total DFT energy (no corrections) in eV/atom: -6.09
D(E_F) in states/eV/atom: 0.589
Spin magnetization in μB per cell: 0.00
SG: Cmm2 (35)

3.
A geometry-optimized TiNb3Mo2 structure, computed with GGA-PBE.

Cell: 9.0116 9.0116 8.5305 Å, 112.24 112.24 20.01°
With the nearest neighbours (Å) after each atom.
Sites, in units of the cell vectors:
Ti (0.0822, 0.0822, 0.1504)  3 Mo 2.54-2.75
Ti (0.9178, 0.9178, 0.8496)  3 Mo 2.54-2.75
Nb (0.1087, 0.1087, 0.5550)  3 Mo 2.73-2.85, 5 Nb 2.84-2.98
Nb (0.2647, 0.2647, 0.8441)  4 Mo 2.57-2.75
Nb (0.4915, 0.4915, 0.2995)  2 Mo 2.67, 4 Nb 2.84-2.98, 2 Ti 2.87
Nb (0.5085, 0.5085, 0.7005)  2 Mo 2.67, 4 Nb 2.84-2.98, 2 Ti 2.87
Nb (0.7353, 0.7353, 0.1559)  4 Mo 2.57-2.75
Nb (0.8913, 0.8913, 0.4450)  3 Mo 2.73-2.85, 5 Nb 2.84-2.98
Mo (0.1284, 0.1284, 0.9032)  1 Ti 2.54, 5 Nb 2.65-2.75
Mo (0.3120, 0.3120, 0.5950)  3 Nb 2.57-2.73, 2 Mo 2.68, 2 Ti 2.75
Mo (0.6880, 0.6880, 0.4050)  3 Nb 2.57-2.73, 2 Mo 2.68, 2 Ti 2.75
Mo (0.8716, 0.8716, 0.0968)  1 Ti 2.54, 5 Nb 2.65-2.75

## Properties
Offset from the most stable computed form in kJ per mole of atoms: 22.20
D(E_F) in states/eV/atom: 0.772
Spin magnetization in μB per cell: 0.00
SG: C2/m (12)

4.
A geometry-optimized LaPr8Y6 structure, computed with GGA-PBE.

Cell: 8.8745 8.8745 8.8745 Å, 62.71 62.71 62.71°
With the nearest neighbours (Å) after each atom.
Sites, in units of the cell vectors:
La (0.0000, 0.0000, 0.0000)  6 Y 3.59, 6 Pr 3.59
Pr (0.1147, 0.7138, 0.7544)  5 Pr 3.48-3.53, 2 Y 3.50, 1 La 3.59
Pr (0.2456, 0.8853, 0.2862)  5 Pr 3.48-3.53, 2 Y 3.50, 1 La 3.59
Pr (0.2862, 0.2456, 0.8853)  5 Pr 3.48-3.53, 2 Y 3.50, 1 La 3.59
Pr (0.4221, 0.4221, 0.4221)  4 Pr 3.32-3.48, 3 Y 3.42
Pr (0.5779, 0.5779, 0.5779)  4 Pr 3.32-3.48, 3 Y 3.42
Pr (0.7138, 0.7544, 0.1147)  5 Pr 3.48-3.53, 2 Y 3.50, 1 La 3.59
Pr (0.7544, 0.1147, 0.7138)  5 Pr 3.48-3.53, 2 Y 3.50, 1 La 3.59
Pr (0.8853, 0.2862, 0.2456)  5 Pr 3.48-3.53, 2 Y 3.50, 1 La 3.59
Y (0.0937, 0.5346, 0.2534)  3 Pr 3.42-3.50, 3 Y 3.57-3.75, 1 La 3.59
Y (0.2534, 0.0937, 0.5346)  3 Pr 3.42-3.50, 3 Y 3.57-3.75, 1 La 3.59
Y (0.4654, 0.7466, 0.9063)  3 Pr 3.42-3.50, 3 Y 3.57-3.75, 1 La 3.59
Y (0.5346, 0.2534, 0.0937)  3 Pr 3.42-3.50, 3 Y 3.57-3.75, 1 La 3.59
Y (0.7466, 0.9063, 0.4654)  3 Pr 3.42-3.50, 3 Y 3.57-3.75, 1 La 3.59
Y (0.9063, 0.4654, 0.7466)  3 Pr 3.42-3.50, 3 Y 3.57-3.75, 1 La 3.59

## Properties
Total DFT energy (no corrections) in eV/atom: -5.35
D(E_F) in states/eV/atom: 1.610
Spin magnetization in μB per cell: 0.00
SG: R-3 (148)

5.
A geometry-optimized Pm4Nd4Ho3 structure, computed with GGA-PBE.

Cell: 3.5720 5.7271 18.4131 Å, 81.13 84.44 90.00°
With the nearest neighbours (Å) after each atom.
Sites, in units of the cell vectors:
Pm (0.0903, 0.0916, 0.3192)  3 Nd 3.24-3.28, 2 Pm 3.57
Pm (0.2327, 0.7327, 0.0348)  4 Nd 3.44-3.64, 6 Pm 3.57-3.60
Pm (0.7673, 0.2673, 0.9652)  4 Nd 3.44-3.64, 6 Pm 3.57-3.60
Pm (0.9097, 0.9084, 0.6808)  3 Nd 3.24-3.28, 2 Pm 3.57
Nd (0.0458, 0.5475, 0.4080)  2 Pm 3.28, 3 Nd 3.33-3.57
Nd (0.1798, 0.1803, 0.1402)  3 Pm 3.24-3.44, 2 Nd 3.57
Nd (0.8202, 0.8197, 0.8598)  3 Pm 3.24-3.44, 2 Nd 3.57
Nd (0.9542, 0.4525, 0.5920)  2 Pm 3.28, 3 Nd 3.33-3.57
Ho (0.3643, 0.3636, 0.7719)  2 Ho 3.57, 6 Nd 3.71-3.73, 6 Pm 3.75-3.93
Ho (0.5000, 0.0000, 0.5000)  2 Ho 3.57, 4 Pm 3.73, 8 Nd 3.75-3.77
Ho (0.6357, 0.6364, 0.2281)  2 Ho 3.57, 6 Nd 3.71-3.73, 6 Pm 3.75-3.93

## Properties
Offset from the most stable computed form in kJ per mole of atoms: 0.00
D(E_F) in states/eV/atom: 1.666
Spin magnetization in μB per cell: 0.00
SG: P-1 (2)

6.
A geometry-optimized Ba2CdSbH structure, computed with GGA-PBE.

Cell: 5.5798 5.5798 4.8042 Å, 90.00 90.00 90.00°
With the nearest neighbours (Å) after each atom.
Sites, in units of the cell vectors:
Ba (0.0000, 0.5000, 0.0000)  2 H 2.79
Ba (0.5000, 0.0000, 0.0000)  2 H 2.79
Cd (0.0000, 0.0000, 0.5000)  2 H 2.40
Sb (0.5000, 0.5000, 0.5000)  8 Ba 3.68, 4 Cd 3.95
H (0.0000, 0.0000, 0.0000)  2 Cd 2.40

## Properties
Total DFT energy (no corrections) in eV/atom: -3.02
D(E_F) in states/eV/atom: 0.202
Spin magnetization in μB per cell: 0.00
SG: P4/mmm (123)

7.
A geometry-optimized AlGaW2 structure, computed with GGA-PBE.

Cell: 4.4261 4.4261 4.4261 Å, 60.00 60.00 60.00°
With the nearest neighbours (Å) after each atom.
Sites, in units of the cell vectors:
Al (0.0000, 0.0000, 0.0000)  8 W 2.71
Ga (0.5000, 0.5000, 0.5000)  8 W 2.71
W (0.2500, 0.2500, 0.2500)  4 Al 2.71, 4 Ga 2.71
W (0.7500, 0.7500, 0.7500)  4 Al 2.71, 4 Ga 2.71

## Properties
Offset from the most stable computed form in kJ per mole of atoms: 0.00
D(E_F) in states/eV/atom: 1.111
Spin magnetization in μB per cell: 0.00
SG: Fm-3m (225)

8.
A geometry-optimized Li3TiSe4 structure, computed with GGA-PBE.

Cell: 6.6050 6.6050 3.6685 Å, 90.00 90.00 107.85°
With the nearest neighbours (Å) after each atom.
Sites, in units of the cell vectors:
Li (0.0000, 0.0000, 0.0000)  6 Se 2.77-2.79
Li (0.0000, 0.5000, 0.5000)  6 Se 2.67-2.68
Li (0.5000, 0.0000, 0.5000)  6 Se 2.67-2.68
Ti (0.5000, 0.5000, 0.0000)  6 Se 2.55-2.58
Se (0.2610, 0.7390, 0.0000)  1 Ti 2.55, 5 Li 2.68-2.79
Se (0.2669, 0.2669, 0.5000)  2 Ti 2.58, 4 Li 2.67-2.77
Se (0.7331, 0.7331, 0.5000)  2 Ti 2.58, 4 Li 2.67-2.77
Se (0.7390, 0.2610, 0.0000)  1 Ti 2.55, 5 Li 2.68-2.79

## Properties
Energy relative to the elements, uncorrected in eV/f.u.: -8.31
D(E_F) in states/eV/atom: 0.472
Spin magnetization in μB per cell: 0.00
SG: Cmmm (65)